Entry 1:
First-principles (PBE) data for a geometry-optimized Nd2HoIn3 structure, as listed in Alexandria via LeMat-Bulk.

Values from the calculation:
Distance to the lowest polymorph of the same formula: 0.000 eV per atom
Magnetic moment: 0.0000 μB per atom
N(E_F): 10.90 states/eV/cell

Cell and atoms, written as CIF:
```
data_Nd2HoIn3
_chemical_formula_sum 'Nd8 Ho4 In12'
_space_group_name_H-M_alt 'C m m m'
_space_group_IT_number 65
_space_group_name_Hall '-C 2 2'
_cell_length_a 5.423
_cell_length_b 16.278
_cell_length_c 7.646
_cell_angle_alpha 90.00
_cell_angle_beta 90.00
_cell_angle_gamma 90.00
loop_
_atom_site_label
_atom_site_fract_x
_atom_site_fract_y
_atom_site_fract_z
_atom_site_occupancy
Nd1 0.000 0.000 0.000 1
Nd2 0.000 0.000 0.500 1
Nd3 0.000 0.336 0.000 1
Ho1 0.000 0.333 0.500 1
In1 0.000 0.170 0.259 1
In2 0.000 0.500 0.259 1
```



Entry 2:
First-principles (PBE) data for a geometry-optimized Nd2HoIn9 structure, as listed in Alexandria via LeMat-Bulk.

Values from the calculation:
Energy: -44.12 eV/f.u.
Magnetic moment: 0.0000 μB per atom
N(E_F): 5.18 states/eV/cell

Cell and atoms, written as CIF:
```
data_Nd2HoIn9
_chemical_formula_sum 'Nd2 Ho1 In9'
_space_group_name_H-M_alt 'P 4/m m m'
_space_group_IT_number 123
_space_group_name_Hall '-P 4 2'
_cell_length_a 4.690
_cell_length_b 4.690
_cell_length_c 14.051
_cell_angle_alpha 90.00
_cell_angle_beta 90.00
_cell_angle_gamma 90.00
loop_
_atom_site_label
_atom_site_fract_x
_atom_site_fract_y
_atom_site_fract_z
_atom_site_occupancy
Nd1 0.000 0.000 0.169 1
Ho1 0.000 0.000 0.500 1
In1 0.000 0.500 0.000 1
In2 0.000 0.500 0.337 1
In3 0.500 0.500 0.167 1
In4 0.500 0.500 0.500 1
```



Which value of N(E_F) does entry 1 give? 10.90 states/eV/cell